(1)
HfTlIn3 | Alexandria via LeMat-Bulk | PBE-GGA | optimized geometry; VASP energy = -3.04 eV per atom; total magnetization = 0.00 μB per cell; polymorph energy (0 for the lowest one) = 0.595 eV per atom; calculated formation energy = 1.067 eV per atom; N(E_F) = 1.068 states/eV/atom
1.0
-1.7613 -0.3983 5.2021
0.1464 -5.4921 -0.3710
5.2152 0.0196 1.7672
In Tl Hf
3 1 1
Direct
0.5000 0.0000 0.0000
0.0000 0.5000 0.0000
0.0000 0.0000 0.5000
0.0000 0.0000 0.0000
0.5000 0.5000 0.5000



(2)
CsSr2RePd | Alexandria via LeMat-Bulk | PBE-GGA | optimized geometry; VASP energy = -3.27 eV per atom; total magnetization = 3.89 μB per cell; calculated formation energy = 1.105 eV per atom; N(E_F) = 1.254 states/eV/atom
1.0
-3.8142 4.1236 -1.6450
-3.0452 -4.2172 -3.5104
-3.4122 -1.3353 4.5642
Sr Re Cs Pd
2 1 1 1
Direct
0.5000 0.0000 0.0000
0.0000 0.0000 0.5000
0.5000 0.5000 0.5000
0.0000 0.5000 0.0000
0.0000 0.0000 0.0000



(3)
RbMnNb2I | Alexandria via LeMat-Bulk | PBE-GGA | optimized geometry; VASP energy = -3.18 eV per atom; raw formation energy = 3.19 eV/atom; total magnetization = 0.96 μB per cell; N(E_F) = 2.389 states/eV/atom
1.0
-3.3052 -2.9944 1.9616
2.6023 0.6022 5.3040
-2.8734 3.8115 0.9770
I Mn Rb Nb
1 1 1 2
Direct
0.0000 0.5000 0.0000
0.5000 0.5000 0.5000
0.0000 0.0000 0.0000
0.5000 0.0000 0.0000
0.0000 0.0000 0.5000



(4)
DyMoC2 | Alexandria via LeMat-Bulk | PBE-GGA | optimized geometry; VASP energy = -8.41 eV per atom; total magnetization = 0.00 μB per cell; polymorph energy (0 for the lowest one) = 0.310 eV per atom; calculated formation energy = 0.055 eV per atom; N(E_F) = 0.519 states/eV/atom
1.0
-0.3726 2.9860 -1.0509
-2.7393 1.5434 0.5230
1.0637 3.5380 4.8423
Mo Dy C
1 1 2
Direct
0.6708 0.6708 0.9876
0.4950 0.4950 0.5149
0.2635 0.2635 0.2095
0.0706 0.0706 0.7881



(5)
CaZr4 | Alexandria via LeMat-Bulk | PBE-GGA | optimized geometry; VASP energy = -5.74 eV per atom; total magnetization = 1.00 μB per cell; polymorph energy (0 for the lowest one) = 1.058 eV per atom; calculated formation energy = 1.495 eV per atom; N(E_F) = 1.529 states/eV/atom
1.0
5.0577 0.0000 0.0000
0.0000 5.0577 0.0000
0.0000 0.0000 5.0577
Ca Zr
1 4
Direct
0.5000 0.5000 0.5000
0.0000 0.5000 0.5000
0.5000 0.5000 0.0000
0.5000 0.0000 0.5000
0.0000 0.0000 0.0000



(6)
TmGa8Rh2 | Alexandria via LeMat-Bulk | PBE-GGA | optimized geometry; VASP energy = -4.32 eV per atom; total magnetization = 0.00 μB per cell; calculated formation energy = -0.373 eV per atom; N(E_F) = 0.449 states/eV/atom
1.0
4.8048 -0.0216 -0.0324
-0.8251 6.5841 0.5667
-0.8251 -2.0128 6.2944
Ga Rh Tm
8 2 1
Direct
0.2780 0.6267 0.6267
0.1107 0.0982 0.3482
0.1107 0.3482 0.0982
0.5000 0.2910 0.7090
0.5000 0.7090 0.2910
0.8893 0.9018 0.6518
0.8893 0.6518 0.9018
0.7220 0.3733 0.3733
0.0000 0.7129 0.2871
0.0000 0.2871 0.7129
0.5000 0.0000 0.0000



(7)
LaNd2Bi | Alexandria via LeMat-Bulk | PBE-GGA | optimized geometry; VASP energy = -4.99 eV per atom; total magnetization = 0.24 μB per cell; polymorph energy (0 for the lowest one) = 0.064 eV per atom; calculated formation energy = -0.399 eV per atom; N(E_F) = 1.851 states/eV/atom
1.0
4.1974 0.0000 0.0000
0.0000 4.1974 0.0000
0.0000 0.0000 7.4882
Nd Bi La
2 1 1
Direct
0.0000 0.0000 0.7200
0.0000 0.0000 0.2800
0.5000 0.5000 0.5000
0.5000 0.5000 0.0000



(8)
TaGaI3 | Alexandria via LeMat-Bulk | PBE-GGA | optimized geometry; VASP energy = -3.62 eV per atom; raw formation energy = 0.28 eV/atom; total magnetization = 3.00 μB per cell; polymorph energy (0 for the lowest one) = 0.000 eV per atom; N(E_F) = 0.808 states/eV/atom
1.0
-3.0486 -2.1486 4.3468
4.6084 0.3131 3.3868
-1.5081 5.3001 1.5621
Ta I Ga
1 3 1
Direct
0.0000 0.0000 0.0000
0.0000 0.0000 0.5000
0.0000 0.5000 0.0000
0.5000 0.0000 0.0000
0.5000 0.5000 0.5000



Copy entry 4 word for word.
DyMoC2 | Alexandria via LeMat-Bulk | PBE-GGA | optimized geometry; VASP energy = -8.41 eV per atom; total magnetization = 0.00 μB per cell; polymorph energy (0 for the lowest one) = 0.310 eV per atom; calculated formation energy = 0.055 eV per atom; N(E_F) = 0.519 states/eV/atom
1.0
-0.3726 2.9860 -1.0509
-2.7393 1.5434 0.5230
1.0637 3.5380 4.8423
Mo Dy C
1 1 2
Direct
0.6708 0.6708 0.9876
0.4950 0.4950 0.5149
0.2635 0.2635 0.2095
0.0706 0.0706 0.7881